Ho7Te2C2 | GGA-PBE | optimized geometry

It has space group C2/m (No. 12), with a = 7.699 Å, b = 11.373 Å, c = 7.624 Å, α = 90.00°, β = 98.47° and γ = 90.00°. Symmetry generates all atoms from Ho at (0.000, 0.000, 0.000), Ho at (0.087, 0.500, 0.815), Ho at (0.236, 0.306, 0.207), Te at (0.000, 0.316, 0.500) and C at (0.215, 0.500, 0.119).

The spin magnetization is 0.0 Bohr magnetons per cell. As for the energy relative to the elements, uncorrected: -0.37 eV per atom. For the density of states at the Fermi level, the calculation gives 0.682 states/eV per atom.

Ho4TeC2 | GGA-PBE | optimized geometry

It has space group Cmcm (No. 63), with a = 3.788 Å, b = 12.323 Å, c = 12.703 Å, α = 90.00°, β = 90.00° and γ = 90.00°. Symmetry generates all atoms from Ho at (0.000, 0.000, 0.000), Ho at (0.000, 0.257, 0.102), Ho at (0.000, 0.416, 0.750), Te at (0.000, 0.108, 0.750) and C at (0.000, 0.364, 0.559).

The spin magnetization is 0.5 Bohr magnetons per cell. As for the energy relative to the elements, uncorrected: -0.61 eV per atom. For the density of states at the Fermi level, the calculation gives 0.459 states/eV per atom. For the energy above the most stable polymorph in this dataset, the calculation gives 0.0 meV per atom.